# 1
Compound: ScZnInSe3
Source: the Open Quantum Materials Database
Functional: GGA-PBE
Structure: optimized geometry

Calculated values
As for the total moment: 0.0 Bohr magnetons per cell. As for the calculated density: 4.95 g/cm³. The total DFT energy (no corrections) is -4.451 eV/atom. Its polymorph energy (0 for the lowest one) is 6 meV per atom.

```
ScZnInSe3
1.0
14.652 0.000 0.000
0.000 3.969 0.000
0.000 0.000 10.656
In Sc Se Zn
4 4 12 4
Direct
0.755 0.250 0.042
0.255 0.250 0.458
0.745 0.750 0.542
0.245 0.750 0.958
0.476 0.250 0.153
0.976 0.250 0.347
0.024 0.750 0.653
0.524 0.750 0.847
0.593 0.750 0.078
0.084 0.250 0.122
0.362 0.750 0.238
0.862 0.750 0.262
0.584 0.250 0.378
0.093 0.750 0.422
0.907 0.250 0.578
0.416 0.750 0.622
0.138 0.250 0.738
0.638 0.250 0.762
0.916 0.750 0.878
0.407 0.250 0.922
0.982 0.750 0.101
0.482 0.750 0.399
0.518 0.250 0.601
0.018 0.250 0.899
```


# 2
Compound: ScZnInSe3
Source: the Open Quantum Materials Database
Functional: GGA-PBE
Structure: optimized geometry

Calculated values
As for the total moment: 0.0 Bohr magnetons per cell. As for the calculated density: 5.21 g/cm³. The total DFT energy (no corrections) is -4.367 eV/atom. Its polymorph energy (0 for the lowest one) is 89 meV per atom.

```
ScZnInSe3
1.0
12.047 0.000 0.000
0.000 3.996 0.000
0.000 0.000 12.231
In Sc Se Zn
4 4 12 4
Direct
0.157 0.250 0.009
0.657 0.250 0.491
0.343 0.750 0.509
0.843 0.750 0.991
0.466 0.750 0.162
0.966 0.750 0.338
0.034 0.250 0.662
0.534 0.250 0.838
0.595 0.250 0.067
0.963 0.250 0.180
0.241 0.750 0.182
0.741 0.750 0.318
0.463 0.250 0.320
0.095 0.250 0.433
0.905 0.750 0.567
0.537 0.750 0.680
0.259 0.250 0.682
0.759 0.250 0.818
0.037 0.750 0.820
0.405 0.750 0.933
0.755 0.250 0.195
0.255 0.250 0.305
0.745 0.750 0.695
0.245 0.750 0.805
```


# 3
Compound: ScZnInSe3
Source: the Open Quantum Materials Database
Functional: GGA-PBE
Structure: optimized geometry

Calculated values
As for the total moment: 0.0 Bohr magnetons per cell. As for the calculated density: 4.90 g/cm³. The total DFT energy (no corrections) is -4.444 eV/atom. Its polymorph energy (0 for the lowest one) is 12 meV per atom.

```
ScZnInSe3
1.0
-4.287 1.500 -6.728
-0.897 -3.845 -0.285
-6.029 0.778 8.474
In Sc Se Zn
2 2 6 2
Direct
0.270 0.250 0.281
0.730 0.750 0.719
0.685 0.250 0.138
0.315 0.750 0.862
0.449 0.750 0.134
0.924 0.750 0.154
0.763 0.250 0.433
0.237 0.750 0.567
0.076 0.250 0.846
0.551 0.250 0.866
0.923 0.750 0.388
0.077 0.250 0.612
```


# 4
Compound: ScZnInSe3
Source: the Open Quantum Materials Database
Functional: GGA-PBE
Structure: optimized geometry

Calculated values
As for the total moment: 0.0 Bohr magnetons per cell. As for the calculated density: 5.24 g/cm³. The total DFT energy (no corrections) is -4.346 eV/atom. Its polymorph energy (0 for the lowest one) is 110 meV per atom.

```
ScZnInSe3
1.0
-8.216 3.462 0.254
-8.885 -0.400 0.668
2.404 0.482 8.387
In Sc Se Zn
2 2 6 2
Direct
0.140 0.140 0.070
0.860 0.860 0.930
0.826 0.826 0.421
0.174 0.174 0.579
0.500 0.500 0.000
0.330 0.330 0.209
0.669 0.669 0.364
0.000 0.000 0.500
0.331 0.331 0.636
0.670 0.670 0.791
0.477 0.477 0.284
0.523 0.523 0.716
```